(1)
Ba2InCuN: relaxed, PBE.

Values from the calculation:
- raw total energy (eV per atom) = -4.008
- formation energy from raw total energies (eV/atom) = -0.206

a = 6.024 Å, b = 6.024 Å, c = 3.736 Å
α = 90.00°, β = 90.00°, γ = 90.00°
Element x y z (fractional)
Ba  0.000  0.500  0.000
Ba  0.500  0.000  0.000
In  0.000  0.000  0.500
Cu  0.500  0.500  0.500
N  0.500  0.500  0.000

(2)
Ba2NaInCu: relaxed, PBE.

Values from the calculation:
- raw total energy (eV per atom) = -2.482
- formation energy from the elements (kJ/mol of formula units) = -39.7

a = 6.352 Å, b = 6.352 Å, c = 5.022 Å
α = 90.00°, β = 90.00°, γ = 90.00°
Element x y z (fractional)
Ba  0.000  0.500  0.000
Ba  0.500  0.000  0.000
Na  0.000  0.000  0.500
In  0.500  0.500  0.500
Cu  0.500  0.500  0.000

(3)
BaNa2InCu: relaxed, PBE.

Values from the calculation:
- raw total energy (eV per atom) = -2.257
- formation energy from the elements (kJ/mol of formula units) = 10.4

a = 5.540 Å, b = 5.540 Å, c = 5.134 Å
α = 90.00°, β = 90.00°, γ = 90.00°
Element x y z (fractional)
Ba  0.000  0.000  0.000
Na  0.000  0.500  0.500
Na  0.500  0.000  0.500
In  0.500  0.500  0.000
Cu  0.500  0.500  0.500

(4)
Ba2In6CuNi: relaxed, PBE.

Values from the calculation:
- raw total energy (eV per atom) = -3.261
- formation energy from the elements (kJ/mol of formula units) = -237.5

a = 7.102 Å, b = 7.102 Å, c = 7.604 Å
α = 118.30°, β = 118.30°, γ = 59.90°
Element x y z (fractional)
Ba  0.210  0.210  0.129
Ba  0.790  0.790  0.871
In  0.247  0.681  0.675
In  0.248  0.248  0.677
In  0.319  0.753  0.325
In  0.681  0.247  0.675
In  0.752  0.752  0.323
In  0.753  0.319  0.325
Cu  0.500  0.500  0.000
Ni  0.000  0.000  0.500

(5)
Ba3InCu2O6: relaxed, PBE.

Values from the calculation:
- raw total energy (eV per atom) = -5.475
- formation energy from raw total energies (eV/atom) = -1.604

a = 6.116 Å, b = 6.116 Å, c = 6.865 Å
α = 90.00°, β = 90.00°, γ = 120.00°
Element x y z (fractional)
Ba  0.000  0.000  0.000
Ba  0.333  0.667  0.653
Ba  0.667  0.333  0.347
In  0.000  0.000  0.500
Cu  0.333  0.667  0.215
Cu  0.667  0.333  0.785
O  0.164  0.327  0.305
O  0.164  0.836  0.305
O  0.327  0.164  0.695
O  0.673  0.836  0.305
O  0.836  0.164  0.695
O  0.836  0.673  0.695

(6)
BaInCu6O8: relaxed, PBE.

Values from the calculation:
- raw total energy (eV per atom) = -5.102
- formation energy from raw total energies (eV/atom) = -0.796

a = 6.636 Å, b = 6.636 Å, c = 6.636 Å
α = 60.00°, β = 60.00°, γ = 60.00°
Element x y z (fractional)
Ba  0.000  0.000  0.000
In  0.500  0.500  0.500
Cu  0.000  0.000  0.500
Cu  0.000  0.500  0.000
Cu  0.000  0.500  0.500
Cu  0.500  0.000  0.000
Cu  0.500  0.000  0.500
Cu  0.500  0.500  0.000
O  0.073  0.642  0.642
O  0.358  0.358  0.358
O  0.358  0.358  0.927
O  0.358  0.927  0.358
O  0.642  0.073  0.642
O  0.642  0.642  0.073
O  0.642  0.642  0.642
O  0.927  0.358  0.358

| no. | mass density (g cm⁻³) |
| --- | --- |
| 1 | 5.719 |
| 2 | 3.901 |
| 3 | 3.811 |
| 4 | 6.491 |
| 5 | 5.598 |
| 6 | 6.118 |